An optimized crystal structure of RbSrLi. Source: Alexandria via LeMat-Bulk, functional GGA-PBE.

The formation energy is 0.190 eV/atom. The value obtained for the relative energy among the computed polymorphs is 0.074 eV per atom.

The space group is P3m1 (No. 156) and the conventional cell measures 4.3575, 4.3575 and 9.7343 Å, with angles of 90.00, 90.00 and 120.00 degrees. The inequivalent atoms are Rb at (0.0000, 0.0000, 0.0000), Sr at (0.3333, 0.6667, 0.5890) and Li at (0.6667, 0.3333, 0.3206).

---

An optimized crystal structure of Be2SeCl. Source: Alexandria via LeMat-Bulk, functional GGA-PBE.

The value obtained for the relative energy among the computed polymorphs is 0.323 eV per atom. As for the formation energy (no corrections): -0.09 eV/atom.

The space group is C2/m (No. 12) and the conventional cell measures 6.5582, 3.3394 and 6.6355 Å, with angles of 90.00, 119.30 and 90.00 degrees. The inequivalent atoms are Be at (0.0858, 0.0000, 0.2923), Se at (0.0000, 0.5000, 0.5000) and Cl at (0.0000, 0.5000, 0.0000).

---

An optimized crystal structure of ZrZn11Ru. Source: Alexandria via LeMat-Bulk, functional GGA-PBE.

The formation energy is -0.117 eV/atom.

The space group is C2/m (No. 12) and the conventional cell measures 5.1685, 12.5814 and 6.5790 Å, with angles of 90.00, 111.52 and 90.00 degrees. The inequivalent atoms are Zr at (0.0000, 0.0000, 0.0000), Zn at (0.0000, 0.5000, 0.5000), Zn at (0.1070, 0.3939, 0.2117), Zn at (0.1581, 0.1723, 0.3522), Zn at (0.2500, 0.2500, 0.0000) and Ru at (0.0000, 0.0000, 0.5000).

---

An optimized crystal structure of Mg2Ga6Os. Source: Alexandria via LeMat-Bulk, functional GGA-PBE.

The formation energy is -0.101 eV/atom.

The space group is P-3m1 (No. 164) and the conventional cell measures 5.3571, 5.3571 and 6.3965 Å, with angles of 90.00, 90.00 and 120.00 degrees. The inequivalent atoms are Mg at (0.3333, 0.6667, 0.4345), Ga at (0.1684, 0.3368, 0.8263) and Os at (0.0000, 0.0000, 0.5000).

---

An optimized crystal structure of TlCdAuSe2. Source: Alexandria via LeMat-Bulk, functional GGA-PBE.

As for the formation energy (no corrections): -0.38 eV/atom.

The space group is P2/c (No. 13) and the conventional cell measures 6.9406, 5.8089 and 7.5320 Å, with angles of 90.00, 104.39 and 90.00 degrees. The inequivalent atoms are Tl at (0.0000, 0.1517, 0.2500), Cd at (0.5000, 0.4876, 0.7500), Au at (0.5000, 0.0000, 0.0000) and Se at (0.2511, 0.3094, 0.9497).

---

An optimized crystal structure of SrPr2Lu. Source: Alexandria via LeMat-Bulk, functional GGA-PBE.

The formation energy is 0.091 eV/atom. The value obtained for the relative energy among the computed polymorphs is 0.000 eV per atom.

The space group is P4/mmm (No. 123) and the conventional cell measures 4.0965, 4.0965 and 9.2494 Å, with angles of 90.00, 90.00 and 90.00 degrees. The inequivalent atoms are Sr at (0.0000, 0.0000, 0.0000), Pr at (0.5000, 0.5000, 0.2963) and Lu at (0.0000, 0.0000, 0.5000).

---

An optimized crystal structure of Rb4Cd2Se. Source: Alexandria via LeMat-Bulk, functional GGA-PBE.

As for the formation energy (no corrections): -0.32 eV/atom.

The space group is I4/mmm (No. 139) and the conventional cell measures 6.8365, 6.8365 and 17.5692 Å, with angles of 90.00, 90.00 and 90.00 degrees. The inequivalent atoms are Rb at (0.0000, 0.0000, 0.1854), Rb at (0.0000, 0.5000, 0.0000), Cd at (0.0000, 0.0000, 0.4080) and Se at (0.0000, 0.0000, 0.0000).

---

An optimized crystal structure of Dy5SiSb4. Source: Alexandria via LeMat-Bulk, functional GGA-PBE.

As for the formation energy (no corrections): -0.98 eV/atom.

The space group is I4/m (No. 87) and the conventional cell measures 9.6832, 9.6832 and 6.1340 Å, with angles of 90.00, 90.00 and 90.00 degrees. The inequivalent atoms are Dy at (0.0000, 0.0000, 0.0000), Dy at (0.0981, 0.7133, 0.5000), Si at (0.0000, 0.0000, 0.5000) and Sb at (0.0946, 0.6971, 0.0000).

---

An optimized crystal structure of Pm2TaSi3Ir4. Source: Alexandria via LeMat-Bulk, functional GGA-PBE.

As for the formation energy (no corrections): -0.95 eV/atom.

The space group is P-4m2 (No. 115) and the conventional cell measures 4.1540, 4.1540 and 10.4337 Å, with angles of 90.00, 90.00 and 90.00 degrees. The inequivalent atoms are Pm at (0.0000, 0.5000, 0.2398), Ta at (0.0000, 0.0000, 0.5000), Si at (0.0000, 0.5000, 0.8753), Si at (0.5000, 0.5000, 0.5000), Ir at (0.0000, 0.0000, 0.0000), Ir at (0.0000, 0.5000, 0.6417) and Ir at (0.5000, 0.5000, 0.0000).

---

An optimized crystal structure of CrAgS2. Source: Alexandria via LeMat-Bulk, functional GGA-PBE.

As for the formation energy (no corrections): -0.47 eV/atom.

The space group is R3m (No. 160, hexagonal axes) and the conventional cell measures 3.5478, 3.5478 and 20.4190 Å, with angles of 90.00, 90.00 and 120.00 degrees. The inequivalent atoms are Cr at (0.0000, 0.0000, 0.0000), Ag at (0.0000, 0.0000, 0.1533), S at (0.0000, 0.0000, 0.2728) and S at (0.0000, 0.0000, 0.7322).

---

An optimized crystal structure of MgMn2Cl. Source: Alexandria via LeMat-Bulk, functional GGA-PBE.

The value obtained for the relative energy among the computed polymorphs is 0.475 eV per atom. As for the formation energy (no corrections): 0.35 eV/atom.

The space group is I-42d (No. 122) and the conventional cell measures 7.4239, 7.4239 and 5.4607 Å, with angles of 90.00, 90.00 and 90.00 degrees. The inequivalent atoms are Mg at (0.0000, 0.0000, 0.0000), Mn at (0.2108, 0.2500, 0.6250) and Cl at (0.0000, 0.0000, 0.5000).

---

An optimized crystal structure of DyY5Er2Sc. Source: Alexandria via LeMat-Bulk, functional GGA-PBE.

The formation energy is 0.166 eV/atom.

The space group is Cmc2_1 (No. 36) and the conventional cell measures 5.5104, 20.1662 and 10.2638 Å, with angles of 90.00, 90.00 and 90.00 degrees. The inequivalent atoms are Dy at (0.0000, 0.0937, 0.0000), Y at (0.0000, 0.0182, 0.7095), Y at (0.0000, 0.1299, 0.4251), Y at (0.0000, 0.1986, 0.7459), Y at (0.0000, 0.2310, 0.1138), Y at (0.0000, 0.4839, 0.4331), Er at (0.0000, 0.3838, 0.7123), Er at (0.0000, 0.3903, 0.1358) and Sc at (0.0000, 0.3098, 0.4285).

---

Which calculated volume belongs to each record? In order, 53.36, 15.84, 15.31, 17.67, 29.41, 38.80, 58.65, 28.76, 18.00, 18.55, 18.81, 31.68 Å³ per atom.